No. 1
## KTeOsO6 (GGA-PBE)

Data for a geometry-optimized KTeOsO6 structure.

Lattice parameters (Å, degrees): 5.3485 5.3485 5.9984 90.00 90.00 120.00
Space group P312 (No. 149)
Inequivalent atoms, fractional coordinates:
1 K 0.0000 0.0000 0.0000 x1
2 Te 0.6667 0.3333 0.5000 x1
3 Os 0.3333 0.6667 0.5000 x1
4 O 0.0098 0.3913 0.6841 x6

DOS at the Fermi energy (states/eV per cell): 5.7
E_form (uncorrected) (eV per atom): -1.165
Final energy (eV for the cell shown): -55.7

***

No. 2
## Pr2Tm3Ga4 (GGA-PBE)

Data for a geometry-optimized Pr2Tm3Ga4 structure.

Lattice parameters (Å, degrees): 7.944 7.957 7.616 90.00 107.23 90.00
Space group P2_1/c (No. 14)
Inequivalent atoms, fractional coordinates:
1 Pr 0.192 0.179 0.075 x4
2 Tm 0.244 0.675 0.250 x4
3 Tm 0.500 0.000 0.500 x2
4 Ga 0.080 0.532 0.869 x4
5 Ga 0.496 0.119 0.876 x4

DOS at the Fermi energy (states/eV per cell): 16.4
Final energy (eV for the cell shown): -80.6
E_form (eV/atom): -0.582

***

No. 3
## Ac3Pr3Pt2 (GGA-PBE)

Data for a geometry-optimized Ac3Pr3Pt2 structure.

Lattice parameters (Å, degrees): 4.107 13.843 19.528 90.00 90.00 90.00
Space group Cmcm (No. 63)
Inequivalent atoms, fractional coordinates:
1 Ac 0.000 0.057 0.097 x8
2 Ac 0.000 0.316 0.250 x4
3 Pr 0.000 0.330 0.054 x8
4 Pr 0.000 0.410 0.750 x4
5 Pt 0.000 0.278 0.632 x8

DOS at the Fermi energy (states/eV per cell): 39.4
Final energy (eV for the cell shown): -172.0
E_form (eV/atom): -0.531

***

No. 4
## Sr3Ag3Pt2 (GGA-PBE)

Data for a geometry-optimized Sr3Ag3Pt2 structure.

Lattice parameters (Å, degrees): 4.599 11.020 16.457 90.00 90.00 90.00
Space group Cmcm (No. 63)
Inequivalent atoms, fractional coordinates:
1 Sr 0.000 0.096 0.099 x8
2 Sr 0.000 0.372 0.250 x4
3 Ag 0.000 0.337 0.750 x4
4 Ag 0.000 0.383 0.038 x8
5 Pt 0.000 0.198 0.611 x8

DOS at the Fermi energy (states/eV per cell): 10.6
Final energy (eV for the cell shown): -118.0
E_form (eV/atom): -0.477

***

Number 1: volume 16.5 Å³ per atom. Number 2: volume 25.5 Å³ per atom. Number 3: volume 34.7 Å³ per atom. Number 4: volume 26.1 Å³ per atom.